(1)
Compound: Tb3Sm4Th2
Source: the Alexandria database
Functional: GGA-PBE
Structure: optimized geometry

Values from the calculation:
- electronic total energy (Ha/atom) = -0.19152
- energy above the most stable polymorph in this dataset (meV/atom) = 69

a = 3.5819 Å, b = 3.5819 Å, c = 26.9035 Å
α = 90.00°, β = 90.00°, γ = 120.00°
Sites, in units of the cell vectors:
Tb (0.0000, 0.0000, 0.3237)
Tb (0.6667, 0.3333, 0.6526)
Tb (0.0000, 0.0000, 0.9815)
Sm (0.0000, 0.0000, 0.7623)
Sm (0.6667, 0.3333, 0.4333)
Sm (0.6667, 0.3333, 0.2173)
Sm (0.0000, 0.0000, 0.5443)
Th (0.6667, 0.3333, 0.8721)
Th (0.6667, 0.3333, 0.0901)

***

(2)
Compound: Tb4Sm3Th2
Source: the Alexandria database
Functional: GGA-PBE
Structure: optimized geometry

Values from the calculation:
- electronic total energy (Ha/atom) = -0.19110
- energy above the most stable polymorph in this dataset (meV/atom) = 70

a = 3.5738 Å, b = 3.5738 Å, c = 26.8270 Å
α = 90.00°, β = 90.00°, γ = 120.00°
Sites, in units of the cell vectors:
Th (0.6667, 0.3333, 0.0927)
Th (0.6667, 0.3333, 0.8695)
Sm (0.0000, 0.0000, 0.3246)
Sm (0.6667, 0.3333, 0.6512)
Sm (0.0000, 0.0000, 0.9814)
Tb (0.6667, 0.3333, 0.4358)
Tb (0.6667, 0.3333, 0.2184)
Tb (0.0000, 0.0000, 0.7617)
Tb (0.0000, 0.0000, 0.5419)

***

(3)
Compound: TbSm4Th5
Source: the Alexandria database
Functional: GGA-PBE
Structure: optimized geometry

Values from the calculation:
- electronic total energy (Ha/atom) = -0.21774

a = 3.4638 Å, b = 11.3164 Å, c = 9.0189 Å
α = 72.69°, β = 101.07°, γ = 90.00°
Sites, in units of the cell vectors:
Sm (0.6968, 0.9073, 0.3936)
Sm (0.3032, 0.0927, 0.6064)
Sm (0.0923, 0.1966, 0.1846)
Sm (0.9077, 0.8034, 0.8154)
Th (0.1089, 0.7044, 0.2177)
Th (0.8027, 0.5918, 0.6054)
Th (0.8911, 0.2956, 0.7823)
Th (0.5000, 0.5000, 0.0000)
Th (0.1973, 0.4082, 0.3946)
Tb (0.5000, 0.0000, 0.0000)

***

(4)
Compound: TbSmTmTh
Source: the Alexandria database
Functional: GGA-PBE
Structure: optimized geometry

Values from the calculation:
- electronic total energy (Ha/atom) = -0.19472
- energy above the most stable polymorph in this dataset (meV/atom) = 0

a = 3.5881 Å, b = 3.5877 Å, c = 11.6676 Å
α = 90.00°, β = 98.86°, γ = 119.99°
Sites, in units of the cell vectors:
Sm (0.9683, 0.3824, 0.3660)
Th (0.3032, 0.5495, 0.8684)
Tm (0.1329, 0.9645, 0.1118)
Tb (0.4735, 0.1345, 0.6234)

***

(5)
Compound: TbSmTm5Th2
Source: the Alexandria database
Functional: GGA-PBE
Structure: optimized geometry

Values from the calculation:
- electronic total energy (Ha/atom) = -0.17756

a = 8.7361 Å, b = 8.7361 Å, c = 9.8099 Å
α = 116.44°, β = 116.44°, γ = 90.00°
Sites, in units of the cell vectors:
Tb (0.7500, 0.7500, 0.5000)
Tb (0.2500, 0.2500, 0.5000)
Tm (0.8482, 0.9308, 0.2790)
Tm (0.6518, 0.1518, 0.7210)
Tm (0.5000, 0.5000, 0.0000)
Tm (0.1518, 0.0692, 0.7210)
Tm (0.9308, 0.4308, 0.2790)
Tm (0.4308, 0.3482, 0.2790)
Tm (0.0000, 0.0000, 0.0000)
Tm (0.3482, 0.8482, 0.2790)
Tm (0.5692, 0.6518, 0.7210)
Tm (0.0692, 0.5692, 0.7210)
Th (0.6191, 0.1191, 0.0000)
Th (0.3809, 0.8809, 0.0000)
Th (0.1191, 0.3809, 0.0000)
Th (0.8809, 0.6191, 0.0000)
Sm (0.2500, 0.7500, 0.5000)
Sm (0.7500, 0.2500, 0.5000)

***

(6)
Compound: TbSm6Tm2Th3
Source: the Alexandria database
Functional: GGA-PBE
Structure: optimized geometry

Values from the calculation:
- electronic total energy (Ha/atom) = -0.19508

a = 6.2147 Å, b = 6.2147 Å, c = 11.9019 Å
α = 95.02°, β = 95.02°, γ = 119.96°
Sites, in units of the cell vectors:
Th (0.5000, 0.5000, 0.5000)
Th (0.8335, 0.1665, 0.5000)
Th (0.1665, 0.8335, 0.5000)
Tm (0.6668, 0.3332, 0.0000)
Tm (0.3332, 0.6668, 0.0000)
Sm (0.4177, 0.0840, 0.2526)
Sm (0.0840, 0.4177, 0.2526)
Sm (0.2498, 0.2498, 0.7475)
Sm (0.7502, 0.7502, 0.2525)
Sm (0.9160, 0.5823, 0.7474)
Sm (0.5823, 0.9160, 0.7474)
Tb (0.0000, 0.0000, 0.0000)

***

(7)
Compound: Tb2Sm4TmTh
Source: the Alexandria database
Functional: GGA-PBE
Structure: optimized geometry

Values from the calculation:
- electronic total energy (Ha/atom) = -0.17882

a = 6.0081 Å, b = 6.0066 Å, c = 9.4243 Å
α = 50.42°, β = 90.00°, γ = 90.00°
Sites, in units of the cell vectors:
Sm (0.5000, 0.7509, 0.2489)
Sm (0.0000, 0.2512, 0.2481)
Sm (0.0000, 0.7488, 0.7519)
Sm (0.5000, 0.2491, 0.7511)
Tb (0.0000, 0.0000, 0.0000)
Tb (0.5000, 0.0000, 0.5000)
Tm (0.0000, 0.5000, 0.5000)
Th (0.5000, 0.5000, 0.0000)

***

(8)
Compound: TbSmTm2Th
Source: the Alexandria database
Functional: GGA-PBE
Structure: optimized geometry

Values from the calculation:
- electronic total energy (Ha/atom) = -0.17694

a = 6.4215 Å, b = 8.5320 Å, c = 6.2795 Å
α = 100.02°, β = 90.00°, γ = 90.00°
Sites, in units of the cell vectors:
Th (0.5536, 0.0000, 0.2500)
Th (0.4464, 0.0000, 0.7500)
Sm (0.8261, 0.5000, 0.2500)
Sm (0.1739, 0.5000, 0.7500)
Tb (0.0000, 0.0000, 0.5000)
Tb (0.0000, 0.0000, 0.0000)
Tm (0.3169, 0.3125, 0.1979)
Tm (0.6831, 0.3125, 0.6979)
Tm (0.6831, 0.6875, 0.8021)
Tm (0.3169, 0.6875, 0.3021)